# 1
! GGA-PBE Ag2PtCl, optimized geometry; values from VASP
! - ΔE_f (raw): 85 kJ/mol of formula units
! - Symmetry: Cmm2
&SYSTEM
  ibrav = 0, nat = 4, ntyp = 3
/
ATOMIC_SPECIES
Pt 195.08 Pt.upf
Ag 107.87 Ag.upf
Cl 35.45 Cl.upf
CELL_PARAMETERS angstrom
-2.9027 0.6942 -0.2825
1.0400 -2.5084 -1.2703
-1.8439 -4.6154 7.6042
ATOMIC_POSITIONS crystal
Pt 0.5000 0.5000 0.7432
Ag 0.0000 0.0000 0.9953
Ag 0.5000 0.5000 0.2562
Cl 0.0000 0.0000 0.5054

=====

# 2
! GGA-PBE AgPt2Cl, optimized geometry; values from VASP
! - ΔE_f (raw): 127 kJ/mol of formula units
! - Symmetry: Imm2
&SYSTEM
  ibrav = 0, nat = 4, ntyp = 3
/
ATOMIC_SPECIES
Cl 35.45 Cl.upf
Pt 195.08 Pt.upf
Ag 107.87 Ag.upf
CELL_PARAMETERS angstrom
-1.8622 6.3359 -0.8187
-5.9879 2.6481 -1.1896
4.4513 -3.4682 3.5270
ATOMIC_POSITIONS crystal
Cl 0.1821 0.6821 0.5000
Pt 0.0216 0.0216 0.0000
Pt 0.8401 0.3401 0.5000
Ag 0.4562 0.4562 0.0000

=====

# 3
! GGA-PBE AgPtCl3, optimized geometry; values from VASP
! - ΔE_f (raw): -195 kJ/mol of formula units
! - Symmetry: P2_1/c
&SYSTEM
  ibrav = 0, nat = 20, ntyp = 3
/
ATOMIC_SPECIES
Cl 35.45 Cl.upf
Pt 195.08 Pt.upf
Ag 107.87 Ag.upf
CELL_PARAMETERS angstrom
-3.2736 -3.9310 -1.1480
6.5487 -3.7138 -5.9574
2.8642 -5.2038 9.6515
ATOMIC_POSITIONS crystal
Cl 0.4353 0.5206 0.7430
Cl 0.0791 0.2993 0.4523
Cl 0.4938 0.8657 0.3982
Cl 0.4209 0.7993 0.9523
Cl 0.5791 0.2007 0.0477
Cl 0.0647 0.0206 0.2430
Cl 0.9353 0.9794 0.7570
Cl 0.5062 0.1343 0.6018
Cl 0.9209 0.7007 0.5477
Cl 0.5647 0.4794 0.2570
Cl 0.0062 0.3657 0.8982
Cl 0.9938 0.6343 0.1018
Pt 0.2174 0.5833 0.9210
Pt 0.7826 0.4167 0.0790
Pt 0.7174 0.9167 0.5790
Pt 0.2826 0.0833 0.4210
Ag 0.1678 0.2858 0.1960
Ag 0.6678 0.2142 0.3040
Ag 0.8322 0.7142 0.8040
Ag 0.3322 0.7858 0.6960

=====

# 4
! GGA-PBE Ag2PtCl, optimized geometry; values from VASP
! - ΔE_f (raw): 11 kJ/mol of formula units
! - Symmetry: C2/m
&SYSTEM
  ibrav = 0, nat = 4, ntyp = 3
/
ATOMIC_SPECIES
Cl 35.45 Cl.upf
Pt 195.08 Pt.upf
Ag 107.87 Ag.upf
CELL_PARAMETERS angstrom
-2.6706 -0.3788 -1.5652
0.0485 -1.0150 -2.9483
-1.3436 -8.5117 1.2740
ATOMIC_POSITIONS crystal
Cl 0.7500 0.7500 0.7500
Pt 0.2500 0.2500 0.2500
Ag 0.0014 0.0014 0.9944
Ag 0.4986 0.4986 0.5056

=====

The following calculated density values (in Mg/m³) correspond, in order, to the records above: 10.41; 10.65; 4.84; 10.32.
The following E above lowest polymorph values (in eV per formula unit) correspond, in order, to the records above: 0.77; 0.81; 0.00; 0.00.